Entry i
Material: ZnCuSbTe2
Method: DFT, PBE-GGA
State: optimized geometry

Values from the calculation:
D(E_F) (states/eV per cell): 4.0
Space group: P4/mmm, No. 123

Cell lengths 5.3640, 5.3640, 5.0769 Å; angles 90.00, 90.00, 90.00 degrees
Last column: nearest neighbours and their distance in Å.
Positions (direct):
1 Sb 0.0000 0.0000 0.5000  2 Zn 2.54
2 Zn 0.0000 0.0000 0.0000  2 Sb 2.54, 4 Te 2.68
3 Te 0.0000 0.5000 0.0000  2 Zn 2.68
4 Te 0.5000 0.0000 0.0000  2 Zn 2.68
5 Cu 0.5000 0.5000 0.5000  8 Te 3.69, 4 Sb 3.79

Entry ii
Material: ZnCuSbTe2
Method: DFT, PBE-GGA
State: optimized geometry

Values from the calculation:
D(E_F) (states/eV per cell): 4.6
Space group: P4/mmm, No. 123

Cell lengths 5.3043, 5.3043, 4.9230 Å; angles 90.00, 90.00, 90.00 degrees
Last column: nearest neighbours and their distance in Å.
Positions (direct):
1 Sb 0.0000 0.0000 0.5000  2 Cu 2.46
2 Zn 0.5000 0.5000 0.5000  8 Te 3.62, 4 Sb 3.75
3 Te 0.0000 0.5000 0.0000  2 Cu 2.65
4 Te 0.5000 0.0000 0.0000  2 Cu 2.65
5 Cu 0.0000 0.0000 0.0000  2 Sb 2.46, 4 Te 2.65

So which one is most stable? That would be entry ii, about 271 meV/atom below the next structure.

Entry i
Material: Th3CuSb2
Method: DFT, PBE-GGA
State: optimized geometry

Values from the calculation:
D(E_F) (states/eV per cell): 18.2
Space group: Pnma, No. 62

Cell lengths 4.3293, 12.1000, 12.6321 Å; angles 90.00, 90.00, 90.00 degrees
Last column: nearest neighbours and their distance in Å.
Positions (direct):
1 Th 0.2500 0.3808 0.0506  5 Sb 3.17-3.37, 1 Cu 3.21
2 Th 0.7500 0.6192 0.9494  5 Sb 3.17-3.37, 1 Cu 3.21
3 Th 0.7500 0.8808 0.4494  5 Sb 3.17-3.37, 1 Cu 3.21
4 Th 0.2500 0.1192 0.5506  5 Sb 3.17-3.37, 1 Cu 3.21
5 Th 0.2500 0.7213 0.2246  2 Cu 3.11, 4 Sb 3.21-3.40
6 Th 0.7500 0.2787 0.7754  2 Cu 3.11, 4 Sb 3.21-3.40
7 Th 0.7500 0.2213 0.2754  2 Cu 3.11, 4 Sb 3.21-3.40
8 Th 0.2500 0.7787 0.7246  2 Cu 3.11, 4 Sb 3.21-3.40
9 Th 0.2500 0.4414 0.3805  3 Cu 3.12-3.19, 5 Sb 3.20-3.31
10 Th 0.7500 0.5586 0.6195  3 Cu 3.12-3.19, 5 Sb 3.20-3.31
11 Th 0.7500 0.9414 0.1195  3 Cu 3.12-3.19, 5 Sb 3.20-3.31
12 Th 0.2500 0.0586 0.8805  3 Cu 3.12-3.19, 5 Sb 3.20-3.31
13 Cu 0.2500 0.1269 0.1240  3 Sb 2.68-2.72
14 Cu 0.7500 0.8731 0.8760  3 Sb 2.68-2.72
15 Cu 0.7500 0.6269 0.3760  3 Sb 2.68-2.72
16 Cu 0.2500 0.3731 0.6240  3 Sb 2.68-2.72
17 Sb 0.2500 0.6928 0.4844  2 Cu 2.68
18 Sb 0.7500 0.3072 0.5156  2 Cu 2.68
19 Sb 0.7500 0.1928 0.0156  2 Cu 2.68
20 Sb 0.2500 0.8072 0.9844  2 Cu 2.68
21 Sb 0.2500 0.0075 0.3063  1 Cu 2.72
22 Sb 0.7500 0.9925 0.6937  1 Cu 2.72
23 Sb 0.7500 0.5075 0.1937  1 Cu 2.72
24 Sb 0.2500 0.4925 0.8063  1 Cu 2.72

Entry ii
Material: Th3CuSb2
Method: DFT, PBE-GGA
State: optimized geometry

Values from the calculation:
D(E_F) (states/eV per cell): 9.9
Space group: C2/c, No. 15

Cell lengths 6.2896, 8.5654, 7.7135 Å; angles 106.11, 114.06, 90.00 degrees
Last column: nearest neighbours and their distance in Å.
Positions (direct):
1 Th 0.5002 0.2500 0.0000  2 Cu 3.14-3.15, 4 Sb 3.18
2 Th 0.4998 0.7500 0.0000  2 Cu 3.14-3.15, 4 Sb 3.18
3 Th 0.1513 0.0759 0.3026  2 Cu 2.95, 4 Sb 3.16-3.17
4 Th 0.8488 0.4241 0.6974  2 Cu 2.95, 4 Sb 3.16-3.17
5 Th 0.1512 0.5759 0.3026  2 Cu 2.95, 4 Sb 3.16-3.17
6 Th 0.8487 0.9241 0.6974  2 Cu 2.95, 4 Sb 3.16-3.17
7 Cu 0.9996 0.7500 0.0000  6 Th 2.95-3.15
8 Cu 0.0004 0.2500 0.0000  6 Th 2.95-3.15
9 Sb 0.6747 0.5871 0.3496  6 Th 3.16-3.18
10 Sb 0.6748 0.0871 0.3496  6 Th 3.16-3.18
11 Sb 0.3252 0.9129 0.6504  6 Th 3.16-3.18
12 Sb 0.3253 0.4129 0.6504  6 Th 3.16-3.18

So which one is most stable? That would be entry i, about 60 meV/atom below the next structure.

Entry i
Material: Tl2CuSb
Method: DFT, PBE-GGA
State: optimized geometry

Values from the calculation:
D(E_F) (states/eV per cell): 1.7
Space group: C2/m, No. 12

Cell lengths 6.0927, 6.0927, 3.3229 Å; angles 90.15, 90.15, 121.05 degrees
Last column: nearest neighbours and their distance in Å.
Positions (direct):
1 Cu 0.5000 0.0000 0.5000  2 Sb 3.00, 2 Cu 3.32
2 Sb 0.0000 0.5000 0.5000  2 Cu 3.00, 2 Sb 3.32
3 Tl 0.0000 0.0000 0.0000  4 Tl 3.00-3.32
4 Tl 0.5000 0.5000 0.0000  4 Tl 3.00-3.32

Entry ii
Material: Tl2CuSb
Method: DFT, PBE-GGA
State: optimized geometry

Values from the calculation:
D(E_F) (states/eV per cell): 0.8
Space group: I-4m2, No. 119

Cell lengths 5.2480, 5.2480, 5.2480 Å; angles 119.45, 119.45, 90.95 degrees
Last column: nearest neighbours and their distance in Å.
Positions (direct):
1 Cu 0.5000 0.5000 0.0000  4 Tl 3.22, 4 Sb 3.22
2 Sb 0.7500 0.2500 0.5000  4 Tl 3.22, 4 Cu 3.22
3 Tl 0.0000 0.0000 0.0000  4 Sb 3.22, 4 Tl 3.22
4 Tl 0.2500 0.7500 0.5000  4 Cu 3.22, 4 Tl 3.22

So which one is most stable? That would be entry ii, about 48 meV/atom below the next structure.